No. 1
Crystalline Sr2PmH6Ru at its relaxed geometry, computed with GGA-PBE.

Its final energy is -4.179 eV per atom.

The space group is P-3m1 (No. 164) and the conventional cell measures 5.3744, 5.3744 and 6.1590 Å, with angles of 90.00, 90.00 and 120.00 degrees. The distinct sites, in fractional coordinates, are Sr at (0.3333, 0.6667, 0.3323), Pm at (0.0000, 0.0000, 0.0000), H at (0.1503, 0.3005, 0.6693) and Ru at (0.0000, 0.0000, 0.5000).

---

No. 2
Crystalline AcLaPr2 at its relaxed geometry, computed with GGA-PBE.

The offset from the most stable computed form comes out at 0.00 kJ per mole of atoms.

The space group is P4/mmm (No. 123) and the conventional cell measures 5.360, 5.360 and 5.318 Å, with angles of 90.00, 90.00 and 90.00 degrees. The distinct sites, in fractional coordinates, are Ac at (0.000, 0.000, 0.000), La at (0.500, 0.500, 0.000) and Pr at (0.000, 0.500, 0.500).

---

No. 3
Crystalline Na3CaTc at its relaxed geometry, computed with GGA-PBE.

The offset from the most stable computed form comes out at 0.00 kJ per mole of atoms.

The space group is Pm-3m (No. 221) and the conventional cell measures 5.623, 5.623 and 5.623 Å, with angles of 90.00, 90.00 and 90.00 degrees. The distinct sites, in fractional coordinates, are Na at (0.000, 0.000, 0.500), Ca at (0.500, 0.500, 0.500) and Tc at (0.000, 0.000, 0.000).

---

No. 4
Crystalline Tl3Hg3Bi at its relaxed geometry, computed with GGA-PBE.

The offset from the most stable computed form comes out at 4.33 kJ per mole of atoms.

The space group is P6_3/m (No. 176) and the conventional cell measures 9.0727, 9.0727 and 5.7894 Å, with angles of 90.00, 90.00 and 120.00 degrees. The distinct sites, in fractional coordinates, are Tl at (0.0567, 0.8042, 0.2500), Hg at (0.1068, 0.6270, 0.7500) and Bi at (0.3333, 0.6667, 0.2500).

---

No. 5
Crystalline ZnPbAu4 at its relaxed geometry, computed with GGA-PBE.

The offset from the most stable computed form comes out at 2.84 kJ per mole of atoms.

The space group is P4/mmm (No. 123) and the conventional cell measures 3.981, 3.981 and 8.335 Å, with angles of 90.00, 90.00 and 90.00 degrees. The distinct sites, in fractional coordinates, are Zn at (0.000, 0.000, 0.000), Pb at (0.500, 0.500, 0.500) and Au at (0.000, 0.500, 0.215).

---

No. 6
Crystalline Al2Co2Ir at its relaxed geometry, computed with GGA-PBE.

Its final energy is -6.404 eV per atom.

The space group is P4/mbm (No. 127) and the conventional cell measures 6.758, 6.758 and 2.741 Å, with angles of 90.00, 90.00 and 90.00 degrees. The distinct sites, in fractional coordinates, are Al at (0.139, 0.361, 0.000), Co at (0.160, 0.660, 0.500) and Ir at (0.000, 0.000, 0.000).

---

No. 7
Crystalline NaBe2FeSi at its relaxed geometry, computed with GGA-PBE.

The calculation puts the raw formation energy at 985 kJ/mol of formula units.

The space group is P4/mmm (No. 123) and the conventional cell measures 4.080, 4.080 and 4.358 Å, with angles of 90.00, 90.00 and 90.00 degrees. The distinct sites, in fractional coordinates, are Na at (0.000, 0.000, 0.000), Be at (0.000, 0.500, 0.000), Fe at (0.000, 0.000, 0.500) and Si at (0.500, 0.500, 0.500).

---

No. 8
Crystalline BaTc2Au at its relaxed geometry, computed with GGA-PBE.

The offset from the most stable computed form comes out at 51.35 kJ per mole of atoms.

The space group is P4/mmm (No. 123) and the conventional cell measures 3.621, 3.621 and 7.256 Å, with angles of 90.00, 90.00 and 90.00 degrees. The distinct sites, in fractional coordinates, are Ba at (0.000, 0.000, 0.000), Tc at (0.500, 0.500, 0.348) and Au at (0.000, 0.000, 0.500).